DFT (PBE) results for a relaxed structure of SmAl4Ag8.

Geometry as POSCAR:
```
SmAl4Ag8
1.0
-4.6658 4.6658 2.6840
4.6658 -4.6658 2.6840
4.6658 4.6658 -2.6840
Ag Al Sm
8 4 1
direct
0.3438 0.0000 0.3438
0.6562 0.0000 0.6562
0.5000 0.7171 0.2172
0.5000 0.2828 0.7829
0.7171 0.5000 0.2172
0.0000 0.6562 0.6562
0.0000 0.3438 0.3438
0.2828 0.5000 0.7829
0.5000 0.0000 0.0000
0.5000 0.5000 0.5000
0.0000 0.0000 0.5000
0.0000 0.5000 0.0000
0.0000 0.0000 0.0000
```

The calculation puts the energy at -3.473 eV per atom.